[1]
PBE PrDy2S, relaxed; energy above the most stable polymorph in this dataset = 176 meV per atom; energy relative to the elements, uncorrected = -770 meV per atom; VASP energy = -21.19 eV per cell
1.0
-0.312 2.113 -2.988
0.112 -1.518 -3.343
-10.213 -1.009 -1.903
Dy Pr S
2 1 1
Direct
0.887 0.887 0.340
0.113 0.113 0.660
0.000 0.000 0.000
0.500 0.500 0.500

=====

[2]
PBE Pr2Dy3S4, relaxed; energy relative to the elements, uncorrected = -1769 meV per atom; VASP energy = -55.79 eV per cell
1.0
3.812 0.000 0.938
1.681 6.444 1.385
-0.175 0.605 8.929
Pr Dy S
2 3 4
Direct
0.401 0.795 0.403
0.599 0.205 0.597
0.205 0.395 0.195
0.000 0.000 0.000
0.795 0.605 0.805
0.604 0.698 0.093
0.802 0.107 0.289
0.198 0.893 0.711
0.396 0.302 0.907

=====

[3]
PBE PrDy3S4, relaxed; energy above the most stable polymorph in this dataset = 0 meV per atom; energy relative to the elements, uncorrected = -1992 meV per atom; VASP energy = -51.03 eV per cell
1.0
-2.838 0.435 2.656
-0.949 -6.817 0.102
4.697 1.667 4.747
S Pr Dy
4 1 3
Direct
0.000 0.262 0.262
0.000 0.738 0.738
0.500 0.744 0.256
0.500 0.256 0.744
0.500 0.000 0.000
0.500 0.500 0.500
0.000 0.500 0.000
0.000 0.000 0.500

=====

[4]
PBE PrDy2S, relaxed; energy above the most stable polymorph in this dataset = 0 meV per atom; energy relative to the elements, uncorrected = -945 meV per atom; VASP energy = -21.89 eV per cell
1.0
-2.293 1.784 2.358
-0.174 -1.041 3.590
6.072 6.338 4.090
Pr Dy S
1 2 1
Direct
0.500 0.500 0.500
0.274 0.274 0.178
0.059 0.059 0.823
0.667 0.667 0.000

=====

[5]
PBE PrDy3S4, relaxed; energy above the most stable polymorph in this dataset = 29 meV per atom; energy relative to the elements, uncorrected = -1963 meV per atom; VASP energy = -50.80 eV per cell
1.0
-5.169 1.761 1.251
0.055 -3.135 4.643
2.159 4.296 2.875
S Dy Pr
4 3 1
Direct
0.000 0.000 0.500
0.500 0.000 0.000
0.000 0.500 0.000
0.500 0.500 0.500
0.000 0.500 0.500
0.500 0.500 0.000
0.500 0.000 0.500
0.000 0.000 0.000

=====

[6]
PBE Pr2Dy2S3, relaxed; energy relative to the elements, uncorrected = -1714 meV per atom; VASP energy = -43.15 eV per cell
1.0
-3.816 0.300 0.821
1.564 -6.634 0.386
1.552 1.835 6.539
S Pr Dy
3 2 2
Direct
0.000 0.000 0.000
0.248 0.497 0.764
0.752 0.503 0.236
0.875 0.752 0.617
0.125 0.248 0.383
0.628 0.256 0.888
0.372 0.744 0.112

=====

[7]
PBE Pr4DyS4, relaxed; energy relative to the elements, uncorrected = -1766 meV per atom; VASP energy = -56.13 eV per cell
1.0
-0.268 3.788 1.390
-3.516 -0.320 6.076
6.320 0.265 6.377
S Pr Dy
4 4 1
Direct
0.304 0.099 0.292
0.905 0.284 0.906
0.095 0.716 0.094
0.696 0.901 0.708
0.104 0.193 0.599
0.896 0.807 0.401
0.302 0.597 0.800
0.698 0.403 0.200
0.500 0.000 0.000

=====

[8]
PBE PrDy4S5, relaxed; energy relative to the elements, uncorrected = -1986 meV per atom; VASP energy = -63.68 eV per cell
1.0
-3.125 -2.014 -1.294
1.499 -4.355 3.158
-4.584 6.751 6.549
S Dy Pr
5 4 1
Direct
0.000 0.500 0.000
0.606 0.106 0.213
0.394 0.894 0.787
0.199 0.699 0.398
0.801 0.301 0.602
0.203 0.203 0.405
0.599 0.599 0.199
0.401 0.401 0.801
0.797 0.797 0.595
0.000 0.000 0.000